[1]
The following is a SCAN calculation of a crystal of K2AsW relaxed with PBEsol, from Alexandria via LeMat-Bulk.

Geometry as extended XYZ:
```
4
Lattice="-1.5347 2.8437 2.7324 -3.4446 2.2475 -0.9955 -7.0830 -5.0010 4.4287" Properties=species:S:1:pos:R:3 pbc="T T T"
As -8.3684 0.9042 4.1429
K -6.5453 -4.3088 4.0425
K -3.5538 -0.6687 1.9277
W -6.7090 -0.7925 3.5640
```

Output
The space-group type is Cm. The value obtained for the uncorrected energy is -26.14 eV per atom.

***

[2]
The following is a SCAN calculation of a crystal of KAs3W relaxed with PBEsol, from Alexandria via LeMat-Bulk.

Geometry as extended XYZ:
```
5
Lattice="-4.6876 -0.0660 1.5217 0.9097 -4.0709 2.6256 1.2217 2.7779 3.8838" Properties=species:S:1:pos:R:3 pbc="T T T"
As 0.4548 -2.0355 1.3128
As 0.6108 1.3890 1.9419
As -2.3438 -0.0330 0.7609
K -1.2781 -0.6795 4.0156
W 0.0000 0.0000 0.0000
```

Output
The space-group type is Pm-3m. The value obtained for the uncorrected energy is -27.60 eV per atom.

***

[3]
The following is a SCAN calculation of a crystal of K2AsW relaxed with PBEsol, from Alexandria via LeMat-Bulk.

Geometry as extended XYZ:
```
4
Lattice="-4.0830 -2.7945 -1.6671 -2.8374 -2.7618 3.4030 -4.8555 1.5112 1.1831" Properties=species:S:1:pos:R:3 pbc="T T T"
As -2.9440 -1.0113 0.7298
K 0.0000 0.0000 0.0000
K -8.8319 -3.0339 2.1893
W -5.8879 -2.0226 1.4595
```

Output
The space-group type is F-43m. The value obtained for the uncorrected energy is -25.53 eV per atom.